Entry 1:
Compound: LiCu
Source: Alexandria via LeMat-Bulk
Functional: PBE-GGA
Structure: optimized geometry

Unit cell a=5.131 b=5.131 c=4.299 alpha=90.00 beta=90.00 gamma=151.80
Fractional positions:
Li (0.169, 0.831, 0.750)
Li (0.831, 0.169, 0.250)
Cu (0.434, 0.566, 0.750)
Cu (0.566, 0.434, 0.250)

Calculated values
The calculation puts the total energy at -3.0095 eV/atom. The energy relative to the elements is 0.00 eV/atom. As for the symmetry: Cmcm (63).

---

Entry 2:
Compound: BeAsP
Source: Alexandria via LeMat-Bulk
Functional: PBE-GGA
Structure: optimized geometry

Unit cell a=3.504 b=3.504 c=4.188 alpha=90.00 beta=90.00 gamma=120.00
Fractional positions:
Be (0.000, 0.000, 0.000)
As (0.667, 0.333, 0.646)
P (0.333, 0.667, 0.213)

Calculated values
The calculation puts the total energy at -4.3582 eV/atom. The energy relative to the elements is 0.24 eV/atom. As for the symmetry: P3m1 (156). As for the energy above the lowest structure with this stoichiometry: 0 meV/atom.

---

Entry 3:
Compound: Li2Pu3Se6
Source: Alexandria via LeMat-Bulk
Functional: PBE-GGA
Structure: optimized geometry

Unit cell a=7.182 b=7.182 c=6.799 alpha=100.12 beta=100.12 gamma=119.99
Fractional positions:
Li (0.168, 0.832, 0.000)
Li (0.832, 0.168, 0.000)
Pu (0.000, 0.000, 0.500)
Pu (0.335, 0.665, 0.500)
Pu (0.665, 0.335, 0.500)
Se (0.077, 0.415, 0.746)
Se (0.246, 0.246, 0.252)
Se (0.415, 0.077, 0.746)
Se (0.585, 0.923, 0.254)
Se (0.754, 0.754, 0.748)
Se (0.923, 0.585, 0.254)

Calculated values
The calculation puts the total energy at -7.5268 eV/atom. As for the symmetry: C2/m (12). The calculation puts the formation energy (no corrections) at -15.1 eV/f.u.

---

Entry 4:
Compound: MnSb2Pb
Source: Alexandria via LeMat-Bulk
Functional: PBE-GGA
Structure: optimized geometry

Unit cell a=4.005 b=4.005 c=7.127 alpha=90.00 beta=90.00 gamma=90.00
Fractional positions:
Mn (0.000, 0.000, 0.000)
Sb (0.000, 0.000, 0.620)
Sb (0.500, 0.500, 0.011)
Pb (0.500, 0.500, 0.440)

Calculated values
The calculation puts the total energy at -5.0517 eV/atom. As for the symmetry: P4mm (99). The calculation puts the formation energy (no corrections) at 0.9 eV/f.u.

---

| no. | magnetization (μB per formula unit) |
| --- | --- |
| 1 | 0.00 |
| 2 | 0.00 |
| 3 | 14.00 |
| 4 | 4.03 |